Record 1
Entry from Alexandria via LeMat-Bulk: crystalline Zr2PH at its relaxed geometry (PBE).

Lattice parameters (Å, degrees): 6.2668 6.2668 6.2668 90.00 90.00 90.00
With the nearest neighbours (Å) after each atom.
Space group Fm-3m (No. 225)
One atom of each set of equivalent atoms:
Zr1 0.2500 0.2500 0.2500  4 H 2.71, 4 P 2.71
P1 0.0000 0.0000 0.0000  8 Zr 2.71
H1 0.0000 0.0000 0.5000  8 Zr 2.71

Output
Its polymorph energy (0 for the lowest one) is 98 kJ/mol of formula units. The density of states at the Fermi level is 0.150 states/eV/atom. As for the crystal system: cubic. The calculation puts the raw total energy at -6.970 eV/atom.

Record 2
Entry from Alexandria via LeMat-Bulk: crystalline Zr2PH at its relaxed geometry (PBE).

Lattice parameters (Å, degrees): 3.4665 3.4665 18.1385 90.00 90.00 120.00
With the nearest neighbours (Å) after each atom.
Space group R3m (No. 160, hexagonal axes)
One atom of each set of equivalent atoms:
Zr1 0.0000 0.0000 0.0000  3 H 2.34
Zr2 0.0000 0.0000 0.1896  3 H 2.44, 3 P 2.63
P1 0.0000 0.0000 0.4287  6 Zr 2.63-2.65
H1 0.0000 0.0000 0.5997  6 Zr 2.34-2.44

Output
Its polymorph energy (0 for the lowest one) is 0 kJ/mol of formula units. The density of states at the Fermi level is 0.347 states/eV/atom. As for the crystal system: trigonal. The calculation puts the raw total energy at -7.223 eV/atom.

Record 3
Entry from Alexandria via LeMat-Bulk: crystalline Zr3P2H2 at its relaxed geometry (PBE).

Lattice parameters (Å, degrees): 5.0366 6.4271 7.2156 90.00 110.80 90.00
With the nearest neighbours (Å) after each atom.
Space group P2_1/c (No. 14)
One atom of each set of equivalent atoms:
Zr1 0.0000 0.0000 0.0000  2 H 2.01
Zr2 0.3332 0.0139 0.6892  2 H 2.02-2.05
P1 0.1816 0.6737 0.8531  6 Zr 2.57-2.77, 2 H 2.59-2.82
H1 0.3445 0.1713 0.1499  3 Zr 2.01-2.05

Output
The density of states at the Fermi level is 0.351 states/eV/atom. As for the crystal system: monoclinic. The calculation puts the raw total energy at -6.971 eV/atom.

Record 4
Entry from Alexandria via LeMat-Bulk: crystalline ZrPH3 at its relaxed geometry (PBE).

Lattice parameters (Å, degrees): 3.5107 3.5107 3.5107 90.00 90.00 90.00
With the nearest neighbours (Å) after each atom.
Space group Pm-3m (No. 221)
One atom of each set of equivalent atoms:
Zr1 0.0000 0.0000 0.0000  12 H 2.48
P1 0.5000 0.5000 0.5000  6 H 1.76
H1 0.0000 0.5000 0.5000  2 P 1.76

Output
Its polymorph energy (0 for the lowest one) is 83 kJ/mol of formula units. The density of states at the Fermi level is 0.398 states/eV/atom. As for the crystal system: cubic. The calculation puts the raw total energy at -4.388 eV/atom.

Record 5
Entry from Alexandria via LeMat-Bulk: crystalline Zr6P2H at its relaxed geometry (PBE).

Lattice parameters (Å, degrees): 5.5484 6.8502 10.0700 90.00 123.10 90.00
With the nearest neighbours (Å) after each atom.
Space group P2_1/c (No. 14)
One atom of each set of equivalent atoms:
Zr1 0.0893 0.1901 0.4560  1 H 2.28
Zr2 0.3194 0.6881 0.4546  1 H 2.43, 2 P 2.68-2.70
Zr3 0.3747 0.0256 0.2555  1 H 2.26
P1 0.1615 0.1091 0.7496  8 Zr 2.68-2.84
H1 0.0000 0.0000 0.0000  6 Zr 2.26-2.43

Output
The density of states at the Fermi level is 0.681 states/eV/atom. As for the crystal system: monoclinic. The calculation puts the raw total energy at -8.096 eV/atom.

Record 6
Entry from Alexandria via LeMat-Bulk: crystalline Zr2PH at its relaxed geometry (PBE).

Lattice parameters (Å, degrees): 5.2795 5.2806 10.4675 90.00 118.99 90.00
With the nearest neighbours (Å) after each atom.
Space group P2/c (No. 13)
One atom of each set of equivalent atoms:
Zr1 0.0921 0.2449 0.0989  2 H 2.15-2.17
Zr2 0.3425 0.2445 0.8499  2 H 2.15-2.19
P1 0.3800 0.2576 0.3743  6 Zr 2.52-2.66
H1 0.0263 0.1485 0.6249  4 Zr 2.15-2.19

Output
Its polymorph energy (0 for the lowest one) is 2 kJ/mol of formula units. The density of states at the Fermi level is 0.420 states/eV/atom. As for the crystal system: monoclinic. The calculation puts the raw total energy at -7.219 eV/atom.

Record 7
Entry from Alexandria via LeMat-Bulk: crystalline Zr4PH2 at its relaxed geometry (PBE).

Lattice parameters (Å, degrees): 3.5127 11.9431 10.3523 90.00 90.00 90.00
With the nearest neighbours (Å) after each atom.
Space group Cmcm (No. 63)
One atom of each set of equivalent atoms:
Zr1 0.0000 0.0000 0.0000  4 H 2.12
Zr2 0.0000 0.2973 0.1105  1 H 2.12
Zr3 0.0000 0.4151 0.7500  2 H 2.09
P1 0.0000 0.0802 0.7500  8 Zr 2.64-2.76
H1 0.0000 0.4094 0.5477  4 Zr 2.09-2.12

Output
The density of states at the Fermi level is 0.511 states/eV/atom. As for the crystal system: orthorhombic. The calculation puts the raw total energy at -7.262 eV/atom.

Record 8
Entry from Alexandria via LeMat-Bulk: crystalline PaH2 at its relaxed geometry (PBE).

Lattice parameters (Å, degrees): 3.1871 3.1871 6.2894 90.00 90.00 90.00
With the nearest neighbours (Å) after each atom.
Space group I4/mmm (No. 139)
One atom of each set of equivalent atoms:
Pa1 0.0000 0.0000 0.0000  10 H 2.24-2.43
H1 0.0000 0.0000 0.3568  1 H 1.80

Output
Its polymorph energy (0 for the lowest one) is 36 kJ/mol of formula units. The density of states at the Fermi level is 1.137 states/eV/atom. As for the crystal system: tetragonal. The calculation puts the raw total energy at -5.567 eV/atom.

Record 9
Entry from Alexandria via LeMat-Bulk: crystalline PaH5 at its relaxed geometry (PBE).

Lattice parameters (Å, degrees): 3.4823 7.3354 3.5767 90.00 90.00 90.00
With the nearest neighbours (Å) after each atom.
Space group Cmmm (No. 65)
One atom of each set of equivalent atoms:
Pa1 0.0000 0.0000 0.0000  10 H 2.09-2.27
H1 0.0000 0.1482 0.5000  7 H 2.05-2.29, 2 Pa 2.09
H2 0.0000 0.3096 0.0000  4 H 1.95-2.14
H3 0.0000 0.5000 0.5000  8 H 2.05-2.27

Output
The density of states at the Fermi level is 0.108 states/eV/atom. As for the crystal system: orthorhombic. The calculation puts the raw total energy at -4.529 eV/atom.

Record 10
Entry from Alexandria via LeMat-Bulk: crystalline PaH2 at its relaxed geometry (PBE).

Lattice parameters (Å, degrees): 3.3193 3.3193 10.5121 90.00 90.00 120.00
With the nearest neighbours (Å) after each atom.
Space group R-3m (No. 166, hexagonal axes)
One atom of each set of equivalent atoms:
Pa1 0.0000 0.0000 0.0000  8 H 2.27-2.28
H1 0.0000 0.0000 0.2169  3 H 2.19, 4 Pa 2.27-2.28

Output
Its polymorph energy (0 for the lowest one) is 0 kJ/mol of formula units. The density of states at the Fermi level is 1.048 states/eV/atom. As for the crystal system: trigonal. The calculation puts the raw total energy at -5.693 eV/atom.

Record 11
Entry from Alexandria via LeMat-Bulk: crystalline PaH2 at its relaxed geometry (PBE).

Lattice parameters (Å, degrees): 6.4192 6.4192 6.4192 90.00 90.00 90.00
With the nearest neighbours (Å) after each atom.
Space group Fd-3m (No. 227, origin choice 2)
One atom of each set of equivalent atoms:
Pa1 0.1250 0.1250 0.1250  12 H 2.66, 4 Pa 2.78
H1 0.0000 0.0000 0.5000  6 H 2.27

Output
Its polymorph energy (0 for the lowest one) is 255 kJ/mol of formula units. The density of states at the Fermi level is 1.178 states/eV/atom. As for the crystal system: cubic. The calculation puts the raw total energy at -4.811 eV/atom.

Record 12
Entry from Alexandria via LeMat-Bulk: crystalline PaH4 at its relaxed geometry (PBE).

Lattice parameters (Å, degrees): 6.2201 3.6303 4.1187 90.00 119.80 90.00
With the nearest neighbours (Å) after each atom.
Space group C2/m (No. 12)
One atom of each set of equivalent atoms:
Pa1 0.0000 0.0000 0.0000  14 H 2.20-2.44
H1 0.0994 0.5000 0.7998  5 H 1.96-2.15
H2 0.2169 0.0000 0.6516  4 H 1.96-2.15

Output
Its polymorph energy (0 for the lowest one) is 0 kJ/mol of formula units. The density of states at the Fermi level is 0.754 states/eV/atom. As for the crystal system: monoclinic. The calculation puts the raw total energy at -4.872 eV/atom.